## PmTm3Te (PBE)

Data for a relaxed structure of PmTm3Te.

Summary:
**VASP energy**: -22.788 eV per formula unit
**SG**: No. 12
**Raw formation energy**: -0.296 eV per atom
**Theoretical density**: 7.98 g/cm3

Structure (CIF):
```
data_PmTm3Te
_chemical_formula_sum 'Pm2 Tm6 Te2'
_cell_length_a 7.343
_cell_length_b 7.343
_cell_length_c 7.688
_cell_angle_alpha 117.79
_cell_angle_beta 117.79
_cell_angle_gamma 77.29
_space_group_name_H-M_alt 'P 1'
_space_group_IT_number 1
loop_
_space_group_symop_operation_xyz
'x,y,z'
loop_
_atom_site_label
_atom_site_type_symbol
_atom_site_fract_x
_atom_site_fract_y
_atom_site_fract_z
_atom_site_occupancy
Pm1 Pm 0.066 0.066 0.364 1
Pm2 Pm 0.934 0.934 0.636 1
Tm1 Tm 0.051 0.421 0.211 1
Tm2 Tm 0.421 0.051 0.211 1
Tm3 Tm 0.444 0.444 0.677 1
Tm4 Tm 0.556 0.556 0.323 1
Tm5 Tm 0.579 0.949 0.789 1
Tm6 Tm 0.949 0.579 0.789 1
Te1 Te 0.270 0.270 0.890 1
Te2 Te 0.730 0.730 0.110 1
```